No. 1
Below is crystalline Be2AsW at its relaxed geometry, with properties calculated at the PBE level.

Values from the calculation:
The calculation puts the formation enthalpy at 0 K at 0.28 eV/atom.

a b c (Å): 3.381 3.449 4.163
angles (deg): 90.00 90.00 90.00
Positions (direct):
Be: 0.000 0.000 0.000
Be: 0.000 0.500 0.500
As: 0.500 0.000 0.500
W: 0.500 0.500 0.000



No. 2
Below is crystalline Ca3SmTh2Sb6 at its relaxed geometry, with properties calculated at the PBE level.

Values from the calculation:
The calculation puts the energy relative to the elements, uncorrected at -0.976 eV per atom.

a b c (Å): 7.867 7.867 7.802
angles (deg): 99.67 99.67 119.98
Positions (direct):
Ca: 0.000 0.000 0.000
Ca: 0.334 0.666 0.000
Ca: 0.666 0.334 0.000
Sm: 0.500 0.500 0.500
Th: 0.167 0.833 0.500
Th: 0.833 0.167 0.500
Sb: 0.085 0.419 0.256
Sb: 0.248 0.248 0.745
Sb: 0.419 0.085 0.256
Sb: 0.581 0.915 0.744
Sb: 0.752 0.752 0.255
Sb: 0.915 0.581 0.744



No. 3
Below is crystalline SmHoPuIn at its relaxed geometry, with properties calculated at the PBE level.

Values from the calculation:
The calculation puts the formation enthalpy at 0 K at -0.02 eV/atom.

a b c (Å): 5.455 5.455 5.455
angles (deg): 60.00 60.00 60.00
Positions (direct):
Sm: 0.000 0.000 0.000
Ho: 0.750 0.750 0.750
Pu: 0.500 0.500 0.500
In: 0.250 0.250 0.250



Number 1: D(E_F) 1.4 states/eV/f.u., total energy -5.9816 eV/atom, total magnetization 0.00 μB per formula unit. Number 2: D(E_F) 6.9 states/eV/f.u., total energy -5.1670 eV/atom, total magnetization 0.00 μB per formula unit. Number 3: D(E_F) 9.5 states/eV/f.u., total energy -6.6120 eV/atom, total magnetization 6.68 μB per formula unit.